[1]
## BaPrPb2O6 (PBE)

Data for a relaxed structure of BaPrPb2O6.

Structure (extended XYZ):
```
10
Lattice="4.297 0.000 0.000 0.000 4.297 0.000 0.000 0.000 8.696" Properties=species:S:1:pos:R:3 pbc="T T T"
Ba 0.000 0.000 0.000
Pr 0.000 0.000 4.348
Pb 2.148 2.148 2.211
Pb 2.148 2.148 6.485
O 0.000 2.148 2.485
O 0.000 2.148 6.212
O 2.148 0.000 2.485
O 2.148 0.000 6.212
O 2.148 2.148 0.000
O 2.148 2.148 4.348
```

Properties
Space group: No. 123
Total energy: -60.818 eV per formula unit
Total magnetic moment: 0.00 μB per atom

[2]
## BaSmPb2O6 (PBE)

Data for a relaxed structure of BaSmPb2O6.

Structure (extended XYZ):
```
10
Lattice="4.280 0.000 0.000 0.000 4.280 0.000 0.000 0.000 8.689" Properties=species:S:1:pos:R:3 pbc="T T T"
Ba 0.000 0.000 0.000
Sm 0.000 0.000 4.344
Pb 2.140 2.140 2.221
Pb 2.140 2.140 6.467
O 0.000 2.140 2.526
O 0.000 2.140 6.163
O 2.140 0.000 2.526
O 2.140 0.000 6.163
O 2.140 2.140 0.000
O 2.140 2.140 4.344
```

Properties
Space group: No. 123
Total energy: -60.371 eV per formula unit
Total magnetic moment: 0.00 μB per atom

[3]
## Ba2TbPbO6 (PBE)

Data for a relaxed structure of Ba2TbPbO6.

Structure (extended XYZ):
```
10
Lattice="-3.058 3.058 4.338 3.058 -3.058 4.338 3.058 3.058 -4.338" Properties=species:S:1:pos:R:3 pbc="T T T"
Ba 3.058 0.000 2.169
Ba 0.000 3.058 2.169
Tb 0.000 0.000 0.000
Pb 0.000 0.000 4.338
O 0.000 0.000 2.197
O 1.552 1.552 0.000
O 1.505 -1.505 4.338
O -1.505 1.505 4.338
O 1.505 1.505 4.338
O 0.000 0.000 6.479
```

Properties
Space group: No. 139
Total energy: -63.922 eV per formula unit
Total magnetic moment: 0.10 μB per atom

[4]
## BaPdO2 (PBE)

Data for a relaxed structure of BaPdO2.

Structure (extended XYZ):
```
8
Lattice="-2.913 4.183 2.704 2.913 -4.183 2.704 2.913 4.183 -2.704" Properties=species:S:1:pos:R:3 pbc="T T T"
Ba 0.000 2.091 0.072
Ba 2.913 2.091 2.632
Pd 2.913 0.000 0.000
Pd 0.000 0.000 2.704
O 1.457 3.695 -1.352
O 1.457 -0.487 1.352
O -1.457 4.670 1.352
O 1.457 4.670 1.352
```

Properties
Space group: No. 74
Total energy: -22.914 eV per formula unit

[5]
## Ba4Pd4O11 (PBE)

Data for a relaxed structure of Ba4Pd4O11.

Structure (extended XYZ):
```
19
Lattice="5.791 0.000 0.000 -0.141 5.830 0.000 -0.024 -0.035 8.095" Properties=species:S:1:pos:R:3 pbc="T T T"
Ba 0.000 0.000 0.000
Ba -0.049 5.747 4.141
Ba 2.883 2.989 8.065
Ba 3.019 2.924 4.113
Pd -0.005 2.963 2.056
Pd 0.033 2.889 6.117
Pd 2.958 0.026 6.134
Pd 3.015 0.003 2.060
O 0.103 2.590 0.072
O 0.357 2.970 4.037
O 1.306 4.491 6.379
O 1.364 4.480 1.766
O 1.627 1.582 5.926
O 2.597 5.669 4.062
O 2.901 0.419 0.085
O 4.220 4.262 6.127
O 4.297 4.347 2.001
O 4.518 1.384 2.333
O 4.519 1.333 5.881
```

Properties
Space group: No. 1
Total energy: -108.083 eV per formula unit

[6]
## Ba4Pd4O11 (PBE)

Data for a relaxed structure of Ba4Pd4O11.

Structure (extended XYZ):
```
19
Lattice="5.709 0.000 0.000 0.000 8.341 0.000 -0.001 0.000 5.739" Properties=species:S:1:pos:R:3 pbc="T T T"
Ba 0.000 0.000 0.000
Ba 0.158 4.170 0.070
Ba 2.810 0.000 2.928
Ba 3.014 4.170 3.017
Pd 0.055 2.135 2.934
Pd 0.055 6.206 2.934
Pd 2.915 2.076 0.106
Pd 2.915 6.265 0.106
O 0.108 4.170 2.837
O 1.321 1.789 1.390
O 1.321 6.551 1.390
O 1.684 2.160 4.185
O 1.684 6.181 4.185
O 2.874 0.000 5.559
O 2.977 4.170 0.361
O 4.235 1.766 1.675
O 4.235 6.574 1.675
O 4.557 2.153 4.581
O 4.557 6.187 4.581
```

Properties
Space group: No. 6
Total energy: -108.020 eV per formula unit

[7]
## BaPd4O2 (PBE)

Data for a relaxed structure of BaPd4O2.

Structure (extended XYZ):
```
7
Lattice="3.932 -4.348 0.000 3.932 4.348 0.000 -0.071 0.000 3.311" Properties=species:S:1:pos:R:3 pbc="T T T"
Ba 0.000 0.000 0.000
Pd 2.715 1.433 0.848
Pd 5.079 1.433 2.464
Pd 2.715 -1.433 0.848
Pd 5.079 -1.433 2.464
O 2.428 0.000 2.443
O 5.365 0.000 0.868
```

Properties
Space group: No. 12
Total energy: -34.138 eV per formula unit

[8]
## BaPd2O4 (PBE)

Data for a relaxed structure of BaPd2O4.

Structure (extended XYZ):
```
14
Lattice="0.000 4.725 4.725 4.725 0.000 4.725 4.725 4.725 0.000" Properties=species:S:1:pos:R:3 pbc="T T T"
Ba 1.181 1.181 1.181
Ba 8.269 8.269 8.269
Pd 4.725 2.362 2.362
Pd 2.362 4.725 2.362
Pd 2.362 2.362 4.725
Pd 4.725 4.725 4.725
O 2.620 2.620 2.620
O 4.468 4.468 2.620
O 4.468 2.620 4.468
O 6.830 4.982 4.982
O 2.620 4.468 4.468
O 4.982 6.830 4.982
O 4.982 4.982 6.830
O 6.830 6.830 6.830
```

Properties
Space group: No. 227
Total energy: -38.480 eV per formula unit

[9]
## RbBaPd2O4 (PBE)

Data for a relaxed structure of RbBaPd2O4.

Structure (extended XYZ):
```
8
Lattice="6.010 0.000 0.000 0.000 2.249 5.769 0.000 -2.249 5.769" Properties=species:S:1:pos:R:3 pbc="T T T"
Rb 0.000 0.000 0.000
Ba 3.005 0.000 4.483
Pd 0.000 0.000 8.025
Pd 3.005 0.000 7.909
O 1.466 0.000 6.631
O 1.570 0.000 9.321
O 4.440 0.000 9.321
O 4.545 0.000 6.631
```

Properties
Space group: No. 38
Total energy: -42.728 eV per formula unit

[10]
## BaPdSO (PBE)

Data for a relaxed structure of BaPdSO.

Structure (extended XYZ):
```
32
Lattice="7.652 0.000 0.000 0.000 8.709 0.000 0.000 0.000 10.164" Properties=species:S:1:pos:R:3 pbc="T T T"
Ba 1.785 1.049 0.377
Ba 1.785 3.305 5.459
Ba 2.041 5.403 0.377
Ba 2.041 7.660 5.459
Ba 5.611 1.049 4.705
Ba 5.611 3.305 9.787
Ba 5.867 5.403 4.705
Ba 5.867 7.660 9.787
Pd 0.025 1.113 7.607
Pd 0.025 3.241 2.525
Pd 3.801 5.468 7.607
Pd 3.801 7.595 2.525
Pd 3.851 1.113 7.640
Pd 3.851 3.241 2.558
Pd 7.627 5.468 7.640
Pd 7.627 7.595 2.558
S 0.634 1.062 3.368
S 0.634 3.293 8.450
S 3.191 5.416 3.368
S 3.191 7.647 8.450
S 4.460 1.062 1.714
S 4.460 3.293 6.796
S 7.017 5.416 1.714
S 7.017 7.647 6.796
O 1.869 5.481 6.785
O 1.869 7.582 1.703
O 1.957 1.127 6.785
O 1.957 3.227 1.703
O 5.695 5.481 8.461
O 5.695 7.582 3.379
O 5.783 1.127 8.461
O 5.783 3.227 3.379
```

Properties
Space group: No. 61
Total energy: -21.331 eV per formula unit

[11]
## BaPdSO (PBE)

Data for a relaxed structure of BaPdSO.

Structure (extended XYZ):
```
8
Lattice="3.815 0.000 0.000 0.000 3.815 0.000 0.000 0.000 12.075" Properties=species:S:1:pos:R:3 pbc="T T T"
Ba 0.954 0.954 1.539
Ba 2.861 2.861 10.537
Pd 0.954 0.954 7.174
Pd 2.861 2.861 4.902
S 0.954 0.954 4.773
S 2.861 2.861 7.302
O 0.954 2.861 0.000
O 2.861 0.954 0.000
```

Properties
Space group: No. 129
Total energy: -19.739 eV per formula unit

[12]
## BaPdSO (PBE)

Data for a relaxed structure of BaPdSO.

Structure (extended XYZ):
```
16
Lattice="8.603 0.000 0.000 0.000 3.543 0.000 0.000 0.000 11.241" Properties=species:S:1:pos:R:3 pbc="T T T"
Ba 0.216 0.886 2.460
Ba 4.086 2.657 8.080
Ba 4.517 0.886 3.161
Ba 8.388 2.657 8.781
Pd 1.887 0.886 5.863
Pd 2.415 2.657 0.242
Pd 6.189 0.886 10.999
Pd 6.716 2.657 5.378
S 2.138 0.886 10.026
S 2.163 2.657 4.405
S 6.440 0.886 6.836
S 6.465 2.657 1.215
O 1.694 2.657 7.114
O 2.607 0.886 1.493
O 5.996 2.657 9.748
O 6.909 0.886 4.127
```

Properties
Space group: No. 62
Total energy: -21.051 eV per formula unit